No. 1
{
  "formula": "Pr4InTe2",
  "functional": "PBE-GGA",
  "state": "relaxed",
  "cell": [[-5.0165, 5.0165, 4.9047], [5.0165, -5.0165, 4.9047], [5.0165, 5.0165, -4.9047]],
  "species": ["Pr", "Pr", "Pr", "Pr", "Pr", "Pr", "Pr", "Pr", "In", "In", "Te", "Te", "Te", "Te"],
  "frac_coords": [[0.0586, 0.3712, 0.3098], [0.0614, 0.7487, 0.6902], [0.1212, 0.3086, 0.8098], [0.2513, 0.9414, 0.3126], [0.4987, 0.3114, 0.1902], [0.6288, 0.9386, 0.6874], [0.6886, 0.8788, 0.1874], [0.6914, 0.5013, 0.8126], [0.0000, 0.0000, 0.0000], [0.7500, 0.2500, 0.5000], [0.3732, 0.6250, 0.2482], [0.3750, 0.6232, 0.7482], [0.3768, 0.1250, 0.7518], [0.8750, 0.6268, 0.2518]],
  "dft_energy_ev_per_atom": -4.889,
  "spacegroup": "No. 122",
  "volume_a3_per_atom": 35.264,
  "crystal_system": "tetragonal",
  "e_form_raw_ev_per_atom": -0.87
}


No. 2
{
  "formula": "Pr6In2Te",
  "functional": "PBE-GGA",
  "state": "relaxed",
  "cell": [[4.2474, 0.0000, 0.0000], [0.0000, 7.7164, 4.4560], [0.0000, -7.7164, 4.4560]],
  "species": ["Pr", "Pr", "Pr", "Pr", "Pr", "Pr", "In", "In", "Te"],
  "frac_coords": [[0.0000, 0.0000, 0.0000], [0.0000, 0.4496, 0.7242], [0.0000, 0.7242, 0.4496], [0.5000, 0.1216, 0.7247], [0.5000, 0.3275, 0.3275], [0.5000, 0.7247, 0.1216], [0.0000, 0.0577, 0.3914], [0.0000, 0.3914, 0.0577], [0.5000, 0.7251, 0.7251]],
  "dft_energy_ev_per_atom": -4.665,
  "spacegroup": "No. 38",
  "volume_a3_per_atom": 32.454,
  "crystal_system": "orthorhombic",
  "e_form_raw_ev_per_atom": -0.52
}


Please write out number 1 again, unchanged.
{
  "formula": "Pr4InTe2",
  "functional": "PBE-GGA",
  "state": "relaxed",
  "cell": [[-5.0165, 5.0165, 4.9047], [5.0165, -5.0165, 4.9047], [5.0165, 5.0165, -4.9047]],
  "species": ["Pr", "Pr", "Pr", "Pr", "Pr", "Pr", "Pr", "Pr", "In", "In", "Te", "Te", "Te", "Te"],
  "frac_coords": [[0.0586, 0.3712, 0.3098], [0.0614, 0.7487, 0.6902], [0.1212, 0.3086, 0.8098], [0.2513, 0.9414, 0.3126], [0.4987, 0.3114, 0.1902], [0.6288, 0.9386, 0.6874], [0.6886, 0.8788, 0.1874], [0.6914, 0.5013, 0.8126], [0.0000, 0.0000, 0.0000], [0.7500, 0.2500, 0.5000], [0.3732, 0.6250, 0.2482], [0.3750, 0.6232, 0.7482], [0.3768, 0.1250, 0.7518], [0.8750, 0.6268, 0.2518]],
  "dft_energy_ev_per_atom": -4.889,
  "spacegroup": "No. 122",
  "volume_a3_per_atom": 35.264,
  "crystal_system": "tetragonal",
  "e_form_raw_ev_per_atom": -0.87
}


Question: Which formula does entry 2 have?
Answer: Pr6In2Te